1.
{
  "formula": "Sm3HoMg6",
  "functional": "GGA-PBE",
  "state": "optimized geometry",
  "lattice_angstrom": [[9.360, 0.000, 0.000], [0.000, 5.303, 0.000], [-3.017, 0.000, 10.929]],
  "species": ["Sm", "Sm", "Sm", "Sm", "Sm", "Sm", "Ho", "Ho", "Mg", "Mg", "Mg", "Mg", "Mg", "Mg", "Mg", "Mg", "Mg", "Mg", "Mg", "Mg"],
  "fractional_positions": [[0.039, 0.250, 0.396], [0.149, 0.750, 0.208], [0.253, 0.250, 0.006], [0.747, 0.750, 0.994], [0.851, 0.250, 0.792], [0.961, 0.750, 0.604], [0.451, 0.250, 0.601], [0.549, 0.750, 0.399], [0.061, 0.750, 0.901], [0.167, 0.250, 0.707], [0.262, 0.750, 0.512], [0.355, 0.750, 0.807], [0.361, 0.250, 0.304], [0.454, 0.750, 0.102], [0.546, 0.250, 0.898], [0.639, 0.750, 0.696], [0.645, 0.250, 0.193], [0.738, 0.250, 0.488], [0.833, 0.750, 0.293], [0.939, 0.250, 0.099]],
  "space_group": "P2_1/m",
  "dos_at_fermi_per_ev_cell": 20.6,
  "total_magnetization_mub_per_cell": 0.00,
  "ef_ev_per_fu": -0.72
}

2.
{
  "formula": "BaYTa2Te",
  "functional": "GGA-PBE",
  "state": "optimized geometry",
  "lattice_angstrom": [[5.127, 0.000, 0.000], [0.000, 5.127, 0.000], [0.000, 0.000, 5.718]],
  "species": ["Ba", "Y", "Ta", "Ta", "Te"],
  "fractional_positions": [[0.000, 0.000, 0.000], [0.000, 0.000, 0.500], [0.000, 0.500, 0.000], [0.500, 0.000, 0.000], [0.500, 0.500, 0.500]],
  "space_group": "P4/mmm",
  "dos_at_fermi_per_ev_cell": 5.0,
  "total_magnetization_mub_per_cell": 0.00,
  "e_form_raw_ev_per_atom": 2.150
}

3.
{
  "formula": "Ti7NbCo5",
  "functional": "GGA-PBE",
  "state": "optimized geometry",
  "lattice_angstrom": [[-2.522, 4.281, 4.307], [2.522, -4.281, 4.307], [2.522, 4.281, -4.307]],
  "species": ["Ti", "Ti", "Ti", "Ti", "Ti", "Ti", "Ti", "Nb", "Co", "Co", "Co", "Co", "Co"],
  "fractional_positions": [[0.000, 0.000, 0.000], [0.003, 0.664, 0.339], [0.325, 0.664, 0.661], [0.330, 0.330, 0.000], [0.444, 0.131, 0.313], [0.818, 0.131, 0.687], [0.881, 0.381, 0.500], [0.657, 0.657, 0.000], [0.141, 0.147, 0.496], [0.141, 0.645, 0.994], [0.407, 0.907, 0.500], [0.651, 0.147, 0.006], [0.651, 0.645, 0.504]],
  "space_group": "Imm2",
  "dos_at_fermi_per_ev_cell": 14.5,
  "total_magnetization_mub_per_cell": 0.00,
  "ef_ev_per_fu": -2.89
}

4.
{
  "formula": "NpTaV2",
  "functional": "GGA-PBE",
  "state": "optimized geometry",
  "lattice_angstrom": [[1.406, 0.812, 9.600], [-1.406, 0.812, 9.600], [0.000, -1.623, 9.600]],
  "species": ["Np", "Ta", "V", "V"],
  "fractional_positions": [[0.000, 0.000, 0.000], [0.500, 0.500, 0.500], [0.086, 0.086, 0.086], [0.914, 0.914, 0.914]],
  "space_group": "R-3m",
  "dos_at_fermi_per_ev_cell": 6.1,
  "total_magnetization_mub_per_cell": 0.08,
  "e_above_lowest_polymorph_kj_per_mol_atoms": 22.6,
  "ef_ev_per_fu": 2.03
}